{
  "formula": "YZnSi2",
  "functional": "PBE",
  "state": "relaxed",
  "lattice": [[3.4047, 0.0166, 0.0000], [-0.0751, 3.4039, 0.0000], [0.0000, 0.0000, 6.3302]],
  "species": ["Y", "Si", "Zn", "Si"],
  "fractional_positions": [[0.0000, 0.0000, 0.4896], [0.0000, 0.0000, 0.0175], [0.5000, 0.5000, 0.8006], [0.5000, 0.5000, 0.1923]],
  "energy_ev_per_cell": -19.13,
  "magmom_total_mub_per_fu": 0.0,
  "spacegroup": "Cmm2 (35)",
  "n_ef_per_ev_cell": 3.142
}

---

{
  "formula": "Li4CaHg",
  "functional": "PBE",
  "state": "relaxed",
  "lattice": [[-6.0224, 1.9561, 1.4991], [-2.1262, -2.1981, -5.7438], [-5.3556, -6.2185, 0.6857]],
  "species": ["Ca", "Li", "Li", "Ca", "Hg", "Hg", "Li", "Li", "Li", "Li", "Li", "Li"],
  "fractional_positions": [[0.0000, 0.0000, 0.0000], [0.1850, 0.6850, 0.3229], [0.5080, 0.0080, 0.6771], [0.5000, 0.5000, 0.0000], [0.2500, 0.2500, 0.5000], [0.7500, 0.7500, 0.5000], [0.8150, 0.3150, 0.6771], [0.6861, 0.4908, 0.3231], [0.9908, 0.1861, 0.3231], [0.4920, 0.9920, 0.3229], [0.3139, 0.5092, 0.6769], [0.0092, 0.8139, 0.6769]],
  "energy_ev_per_cell": -21.28,
  "magmom_total_mub_per_fu": 0.0,
  "spacegroup": "Fmmm (69)",
  "ef_ev_per_atom": -0.113,
  "n_ef_per_ev_cell": 6.344,
  "polymorph_energy_mev_per_atom": 47.8
}

---

{
  "formula": "RbBiIrPb2",
  "functional": "PBE",
  "state": "relaxed",
  "lattice": [[5.9849, 0.0000, 0.0000], [0.0000, 5.9332, 0.0000], [0.0000, 0.0000, 5.9849]],
  "species": ["Rb", "Pb", "Pb", "Ir", "Bi"],
  "fractional_positions": [[0.0000, 0.0000, 0.0000], [0.5000, 0.0000, 0.0000], [0.0000, 0.0000, 0.5000], [0.5000, 0.5000, 0.5000], [0.0000, 0.5000, 0.0000]],
  "energy_ev_per_cell": -10.49,
  "magmom_total_mub_per_fu": 1.3,
  "spacegroup": "P4/mmm (123)",
  "ef_ev_per_atom": 2.127,
  "n_ef_per_ev_cell": 7.620
}

---

{
  "formula": "SrSnPb",
  "functional": "PBE",
  "state": "relaxed",
  "lattice": [[-0.5004, 5.0505, -0.1627], [-1.4947, 2.1948, -6.5129], [-6.4284, 1.9060, -0.2998]],
  "species": ["Sr", "Sn", "Pb", "Sr", "Pb", "Sn"],
  "fractional_positions": [[0.5593, 0.6880, 0.1933], [0.1532, 0.3167, 0.3769], [0.1620, 0.9097, 0.7663], [0.4407, 0.3120, 0.8067], [0.8380, 0.0903, 0.2337], [0.8468, 0.6833, 0.6231]],
  "energy_ev_per_cell": -21.35,
  "magmom_total_mub_per_fu": 0.0,
  "spacegroup": "C2/m (12)",
  "ef_ev_per_atom": -0.427,
  "n_ef_per_ev_cell": 2.480,
  "polymorph_energy_mev_per_atom": 0.0
}